No. 1
{"formula": "K2LiRe", "functional": "GGA-PBE", "state": "optimized geometry", "e_above_lowest_polymorph_mev_per_atom": 267, "magmom_total_mub_per_cell": 0.89, "rho_g_cm3": 4.81, "lattice": [[6.698, 0.005, -0.012], [3.668, 5.604, 0.012], [-4.241, -4.546, 2.492]], "species": ["K", "K", "Li", "Re"], "frac_coords": [[0.983, 0.983, 0.000], [0.517, 0.517, 0.000], [0.750, 0.250, 0.500], [0.250, 0.750, 0.500]]}

No. 2
{"formula": "KLiRe", "functional": "GGA-PBE", "state": "optimized geometry", "e_above_lowest_polymorph_mev_per_atom": 1065, "magmom_total_mub_per_cell": 3.17, "rho_g_cm3": 4.53, "lattice": [[-1.551, 1.664, -4.381], [-2.586, -2.958, -2.989], [-4.804, 0.847, -0.759]], "species": ["K", "Li", "Re"], "frac_coords": [[0.500, 0.500, 0.500], [0.750, 0.750, 0.750], [0.000, 0.000, 0.000]]}

No. 3
{"formula": "KLi2Re", "functional": "GGA-PBE", "state": "optimized geometry", "e_above_lowest_polymorph_mev_per_atom": 697, "magmom_total_mub_per_cell": 2.89, "rho_g_cm3": 4.25, "lattice": [[-0.154, -5.040, -0.727], [2.572, -2.096, -3.866], [4.130, -2.834, 0.928]], "species": ["K", "Li", "Li", "Re"], "frac_coords": [[0.500, 0.500, 0.500], [0.000, 0.000, 0.000], [0.250, 0.250, 0.250], [0.750, 0.750, 0.750]]}

no.,volume (Å³/atom),energy of formation from the pure elements (meV/atom),raw total energy (eV/f.u.)
1,23.443,1299,-11.36
2,28.353,1975,-9.53
3,23.371,1388,-11.82